The following is a GGA-PBE calculation of CsCrCl3 after structural relaxation, from Alexandria via LeMat-Bulk.

Summary:
Total energy   -23.0 eV for the cell shown
Magnetic moment   4.00 μB/cell

The structure in CIF format:
```
data_CsCrCl3
_space_group_name_H-M_alt 'P m -3 m'
_space_group_IT_number 221
_space_group_name_Hall '-P 4 2 3'
_cell_length_a 5.034
_cell_length_b 5.034
_cell_length_c 5.034
_cell_angle_alpha 90.00
_cell_angle_beta 90.00
_cell_angle_gamma 90.00
loop_
_atom_site_label
_atom_site_fract_x
_atom_site_fract_y
_atom_site_fract_z
_atom_site_occupancy
Cs1 0.000 0.000 0.000 1
Cr1 0.500 0.500 0.500 1
Cl1 0.000 0.500 0.500 1
```

---

The following is a GGA-PBE calculation of La3Ag2Pd7 after structural relaxation, from Alexandria via LeMat-Bulk.

Summary:
Total energy   -193.9 eV for the cell shown
DFT formation energy   -0.649 eV per atom
Magnetic moment   0.00 μB/cell

The structure in CIF format:
```
data_La3Ag2Pd7
_space_group_name_H-M_alt 'R -3 m'
_space_group_IT_number 166
_space_group_name_Hall '-R 3 2"'
_cell_length_a 5.5560
_cell_length_b 5.5560
_cell_length_c 27.1107
_cell_angle_alpha 90.00
_cell_angle_beta 90.00
_cell_angle_gamma 120.00
loop_
_atom_site_label
_atom_site_fract_x
_atom_site_fract_y
_atom_site_fract_z
_atom_site_occupancy
La1 0.0000 0.0000 0.0000 1
La2 0.0000 0.0000 0.1380 1
Ag1 0.0000 0.0000 0.3336 1
Pd1 0.0000 0.0000 0.5000 1
Pd2 0.0033 0.5016 0.9151 1
```

---

The following is a GGA-PBE calculation of Li6Sm2Hg3 after structural relaxation, from Alexandria via LeMat-Bulk.

Summary:
Total energy   -24.3 eV for the cell shown
DFT formation energy   -0.224 eV per atom
Magnetic moment   0.00 μB/cell

The structure in CIF format:
```
data_Li6Sm2Hg3
_space_group_name_H-M_alt 'P -6 2 m'
_space_group_IT_number 189
_space_group_name_Hall 'P -6 -2'
_cell_length_a 8.4089
_cell_length_b 8.4089
_cell_length_c 4.0266
_cell_angle_alpha 90.00
_cell_angle_beta 90.00
_cell_angle_gamma 120.00
loop_
_atom_site_label
_atom_site_fract_x
_atom_site_fract_y
_atom_site_fract_z
_atom_site_occupancy
Li1 0.0000 0.2704 0.0000 1
Li2 0.0000 0.8033 0.5000 1
Sm1 0.3333 0.6667 0.5000 1
Hg1 0.0000 0.5925 0.0000 1
```

---

The following is a GGA-PBE calculation of Ce2TmRu after structural relaxation, from Alexandria via LeMat-Bulk.

Summary:
Total energy   -75.7 eV for the cell shown
DFT formation energy   0.099 eV per atom
Magnetic moment   3.55 μB/cell

The structure in CIF format:
```
data_Ce2TmRu
_space_group_name_H-M_alt 'R -3 m'
_space_group_IT_number 166
_space_group_name_Hall '-R 3 2"'
_cell_length_a 5.4483
_cell_length_b 5.4483
_cell_length_c 11.4438
_cell_angle_alpha 90.00
_cell_angle_beta 90.00
_cell_angle_gamma 120.00
loop_
_atom_site_label
_atom_site_fract_x
_atom_site_fract_y
_atom_site_fract_z
_atom_site_occupancy
Ce1 0.0000 0.0000 0.2296 1
Tm1 0.0000 0.0000 0.5000 1
Ru1 0.0000 0.0000 0.0000 1
```

---

The following is a GGA-PBE calculation of Ho3AgSn3Se8 after structural relaxation, from Alexandria via LeMat-Bulk.

Summary:
Total energy   -214.8 eV for the cell shown
Magnetic moment   0.00 μB/cell

The structure in CIF format:
```
data_Ho3AgSn3Se8
_space_group_name_H-M_alt 'R -3 m'
_space_group_IT_number 166
_space_group_name_Hall '-R 3 2"'
_cell_length_a 8.2208
_cell_length_b 8.2208
_cell_length_c 20.9950
_cell_angle_alpha 90.00
_cell_angle_beta 90.00
_cell_angle_gamma 120.00
loop_
_atom_site_label
_atom_site_fract_x
_atom_site_fract_y
_atom_site_fract_z
_atom_site_occupancy
Ho1 0.0000 0.5000 0.0000 1
Ag1 0.0000 0.0000 0.0000 1
Sn1 0.0000 0.5000 0.5000 1
Se1 0.0000 0.0000 0.2552 1
Se2 0.0092 0.5046 0.2551 1
```

---

The following is a GGA-PBE calculation of SnSbO after structural relaxation, from Alexandria via LeMat-Bulk.

Summary:
Total energy   -58.6 eV for the cell shown
Magnetic moment   0.00 μB/cell

The structure in CIF format:
```
data_SnSbO
_space_group_name_H-M_alt 'C 1 2/m 1'
_space_group_IT_number 12
_cell_length_a 12.615
_cell_length_b 4.935
_cell_length_c 4.862
_cell_angle_alpha 90.00
_cell_angle_beta 102.84
_cell_angle_gamma 90.00
loop_
_space_group_symop_operation_xyz
'x,y,z'
'-x,-y,-z'
'-x,y,-z'
'x,-y,z'
'x+1/2,y+1/2,z'
'-x+1/2,-y+1/2,-z'
'-x+1/2,y+1/2,-z'
'x+1/2,-y+1/2,z'
loop_
_atom_site_label
_atom_site_fract_x
_atom_site_fract_y
_atom_site_fract_z
_atom_site_occupancy
Sn1 0.104 0.000 0.256 1
Sb1 0.120 0.500 0.588 1
O1 0.070 0.000 0.816 1
```

---

The following is a GGA-PBE calculation of K2Cu2HS2 after structural relaxation, from Alexandria via LeMat-Bulk.

Summary:
Total energy   -51.4 eV for the cell shown
Magnetic moment   0.00 μB/cell

The structure in CIF format:
```
data_K2Cu2HS2
_space_group_name_H-M_alt 'C 1 2/m 1'
_space_group_IT_number 12
_cell_length_a 11.002
_cell_length_b 3.976
_cell_length_c 7.512
_cell_angle_alpha 90.00
_cell_angle_beta 123.68
_cell_angle_gamma 90.00
loop_
_space_group_symop_operation_xyz
'x,y,z'
'-x,-y,-z'
'-x,y,-z'
'x,-y,z'
'x+1/2,y+1/2,z'
'-x+1/2,-y+1/2,-z'
'-x+1/2,y+1/2,-z'
'x+1/2,-y+1/2,z'
loop_
_atom_site_label
_atom_site_fract_x
_atom_site_fract_y
_atom_site_fract_z
_atom_site_occupancy
K1 0.057 0.000 0.327 1
Cu1 0.180 0.500 0.071 1
H1 0.000 0.500 0.000 1
S1 0.204 0.500 0.769 1
```

---

The following is a GGA-PBE calculation of SrH2F after structural relaxation, from Alexandria via LeMat-Bulk.

Summary:
Total energy   -59.8 eV for the cell shown
Magnetic moment   0.00 μB/cell

The structure in CIF format:
```
data_SrH2F
_space_group_name_H-M_alt 'I 41/a m d'
_space_group_IT_number 141
_cell_length_a 3.543
_cell_length_b 3.543
_cell_length_c 18.113
_cell_angle_alpha 90.00
_cell_angle_beta 90.00
_cell_angle_gamma 90.00
loop_
_space_group_symop_operation_xyz
'x,y,z'
'-x,-y,-z'
'-y+1/4,x+3/4,z+1/4'
'y+1/4,-x+3/4,-z+1/4'
'-x+1/2,-y,z+1/2'
'x+1/2,y,-z+1/2'
'y+1/4,-x+1/4,z+3/4'
'-y+1/4,x+1/4,-z+3/4'
'x,-y,-z'
'-x,y,z'
'-y+1/4,-x+1/4,-z+3/4'
'y+1/4,x+1/4,z+3/4'
'-x+1/2,y,-z+1/2'
'x+1/2,-y,z+1/2'
'y+1/4,x+3/4,-z+1/4'
'-y+1/4,-x+3/4,z+1/4'
'x+1/2,y+1/2,z+1/2'
'-x+1/2,-y+1/2,-z+1/2'
'-y+3/4,x+1/4,z+3/4'
'y+3/4,-x+1/4,-z+3/4'
'-x,-y+1/2,z'
'x,y+1/2,-z'
'y+3/4,-x+3/4,z+1/4'
'-y+3/4,x+3/4,-z+1/4'
'x+1/2,-y+1/2,-z+1/2'
'-x+1/2,y+1/2,z+1/2'
'-y+3/4,-x+3/4,-z+1/4'
'y+3/4,x+3/4,z+1/4'
'-x,y+1/2,-z'
'x,-y+1/2,z'
'y+3/4,x+1/4,-z+3/4'
'-y+3/4,-x+1/4,z+3/4'
loop_
_atom_site_label
_atom_site_fract_x
_atom_site_fract_y
_atom_site_fract_z
_atom_site_occupancy
Sr1 0.000 0.250 0.375 1
H1 0.000 0.000 0.500 1
F1 0.000 0.250 0.875 1
```

---

The following is a GGA-PBE calculation of YTc3C2 after structural relaxation, from Alexandria via LeMat-Bulk.

Summary:
Total energy   -224.7 eV for the cell shown
DFT formation energy   -0.029 eV per atom
Magnetic moment   0.00 μB/cell

The structure in CIF format:
```
data_YTc3C2
_space_group_name_H-M_alt 'C 1 2/m 1'
_space_group_IT_number 12
_cell_length_a 12.706
_cell_length_b 3.712
_cell_length_c 7.961
_cell_angle_alpha 90.00
_cell_angle_beta 116.70
_cell_angle_gamma 90.00
loop_
_space_group_symop_operation_xyz
'x,y,z'
'-x,-y,-z'
'-x,y,-z'
'x,-y,z'
'x+1/2,y+1/2,z'
'-x+1/2,-y+1/2,-z'
'-x+1/2,y+1/2,-z'
'x+1/2,-y+1/2,z'
loop_
_atom_site_label
_atom_site_fract_x
_atom_site_fract_y
_atom_site_fract_z
_atom_site_occupancy
Y1 0.136 0.000 0.017 1
Tc1 0.058 0.000 0.385 1
Tc2 0.115 0.500 0.673 1
Tc3 0.213 0.500 0.374 1
C1 0.023 0.500 0.257 1
C2 0.211 0.000 0.790 1
```

---

The following is a GGA-PBE calculation of Ru3Pt5 after structural relaxation, from Alexandria via LeMat-Bulk.

Summary:
Total energy   -230.7 eV for the cell shown
DFT formation energy   0.043 eV per atom
Magnetic moment   0.00 μB/cell

The structure in CIF format:
```
data_Ru3Pt5
_space_group_name_H-M_alt 'C 1 2/c 1'
_space_group_IT_number 15
_cell_length_a 10.611
_cell_length_b 9.574
_cell_length_c 5.328
_cell_angle_alpha 90.00
_cell_angle_beta 117.22
_cell_angle_gamma 90.00
loop_
_space_group_symop_operation_xyz
'x,y,z'
'-x,-y,-z'
'-x,y,-z+1/2'
'x,-y,z+1/2'
'x+1/2,y+1/2,z'
'-x+1/2,-y+1/2,-z'
'-x+1/2,y+1/2,-z+1/2'
'x+1/2,-y+1/2,z+1/2'
loop_
_atom_site_label
_atom_site_fract_x
_atom_site_fract_y
_atom_site_fract_z
_atom_site_occupancy
Ru1 0.000 0.046 0.250 1
Ru2 0.122 0.290 0.485 1
Pt1 0.000 0.460 0.750 1
Pt2 0.123 0.207 0.005 1
Pt3 0.246 0.044 0.742 1
```

---

The following is a GGA-PBE calculation of SrRe2Au after structural relaxation, from Alexandria via LeMat-Bulk.

Summary:
Total energy   -51.7 eV for the cell shown
DFT formation energy   0.999 eV per atom
Magnetic moment   0.00 μB/cell

The structure in CIF format:
```
data_SrRe2Au
_space_group_name_H-M_alt 'C m m m'
_space_group_IT_number 65
_space_group_name_Hall '-C 2 2'
_cell_length_a 5.655
_cell_length_b 10.029
_cell_length_c 2.666
_cell_angle_alpha 90.00
_cell_angle_beta 90.00
_cell_angle_gamma 90.00
loop_
_atom_site_label
_atom_site_fract_x
_atom_site_fract_y
_atom_site_fract_z
_atom_site_occupancy
Sr1 0.000 0.000 0.000 1
Re1 0.250 0.250 0.500 1
Au1 0.000 0.500 0.000 1
```

---

The following is a GGA-PBE calculation of Ga2PIr after structural relaxation, from Alexandria via LeMat-Bulk.

Summary:
Total energy   -79.1 eV for the cell shown
DFT formation energy   0.138 eV per atom
Magnetic moment   0.00 μB/cell

The structure in CIF format:
```
data_Ga2PIr
_space_group_name_H-M_alt 'I -4 2 d'
_space_group_IT_number 122
_space_group_name_Hall 'I -4 2bw'
_cell_length_a 5.603
_cell_length_b 5.603
_cell_length_c 11.070
_cell_angle_alpha 90.00
_cell_angle_beta 90.00
_cell_angle_gamma 90.00
loop_
_atom_site_label
_atom_site_fract_x
_atom_site_fract_y
_atom_site_fract_z
_atom_site_occupancy
Ga1 0.244 0.250 0.125 1
P1 0.000 0.000 0.000 1
Ir1 0.000 0.000 0.500 1
```

---

> The highest total energy belongs to which entry?

CsCrCl3

---

Copy entry 10 word for word.
The following is a GGA-PBE calculation of Ru3Pt5 after structural relaxation, from Alexandria via LeMat-Bulk.

Summary:
Total energy   -230.7 eV for the cell shown
DFT formation energy   0.043 eV per atom
Magnetic moment   0.00 μB/cell

The structure in CIF format:
```
data_Ru3Pt5
_space_group_name_H-M_alt 'C 1 2/c 1'
_space_group_IT_number 15
_cell_length_a 10.611
_cell_length_b 9.574
_cell_length_c 5.328
_cell_angle_alpha 90.00
_cell_angle_beta 117.22
_cell_angle_gamma 90.00
loop_
_space_group_symop_operation_xyz
'x,y,z'
'-x,-y,-z'
'-x,y,-z+1/2'
'x,-y,z+1/2'
'x+1/2,y+1/2,z'
'-x+1/2,-y+1/2,-z'
'-x+1/2,y+1/2,-z+1/2'
'x+1/2,-y+1/2,z+1/2'
loop_
_atom_site_label
_atom_site_fract_x
_atom_site_fract_y
_atom_site_fract_z
_atom_site_occupancy
Ru1 0.000 0.046 0.250 1
Ru2 0.122 0.290 0.485 1
Pt1 0.000 0.460 0.750 1
Pt2 0.123 0.207 0.005 1
Pt3 0.246 0.044 0.742 1
```

---

Copy entry 3 word for word.
The following is a GGA-PBE calculation of Li6Sm2Hg3 after structural relaxation, from Alexandria via LeMat-Bulk.

Summary:
Total energy   -24.3 eV for the cell shown
DFT formation energy   -0.224 eV per atom
Magnetic moment   0.00 μB/cell

The structure in CIF format:
```
data_Li6Sm2Hg3
_space_group_name_H-M_alt 'P -6 2 m'
_space_group_IT_number 189
_space_group_name_Hall 'P -6 -2'
_cell_length_a 8.4089
_cell_length_b 8.4089
_cell_length_c 4.0266
_cell_angle_alpha 90.00
_cell_angle_beta 90.00
_cell_angle_gamma 120.00
loop_
_atom_site_label
_atom_site_fract_x
_atom_site_fract_y
_atom_site_fract_z
_atom_site_occupancy
Li1 0.0000 0.2704 0.0000 1
Li2 0.0000 0.8033 0.5000 1
Sm1 0.3333 0.6667 0.5000 1
Hg1 0.0000 0.5925 0.0000 1
```

---

> Which formula does entry 2 have?

La3Ag2Pd7